DFT (GGA-PBE) results for a relaxed structure of Li6Ag5Pt.

a b c (Å): 7.503 7.503 4.369
angles (deg): 104.85 104.85 51.42
Fractional positions:
Li 0.080 0.598 0.339
Li 0.233 0.767 0.000
Li 0.402 0.920 0.661
Li 0.598 0.080 0.339
Li 0.767 0.233 0.000
Li 0.920 0.402 0.661
Ag 0.170 0.170 0.172
Ag 0.334 0.334 0.834
Ag 0.500 0.500 0.500
Ag 0.666 0.666 0.166
Ag 0.830 0.830 0.828
Pt 0.000 0.000 0.500

Calculated values
As for the calculated formation energy: -3.3 eV per formula unit. Its density of states at the Fermi level is 0.23 states/eV per atom.